Material: UMnAg2O6
Method: DFT, GGA+U
State: relaxed

## Properties
The density of states at the Fermi level is 5.58 states/eV per cell. The total energy is -0.5144 Ry/atom. The value obtained for the magnetization is 3.1 μB/f.u.

a = 5.677 Å, b = 5.677 Å, c = 5.519 Å
α = 117.31°, β = 117.31°, γ = 61.51°
Positions (direct):
1 U 0.000 0.000 0.000
2 Mn 0.500 0.500 0.500
3 Ag 0.251 0.251 0.707
4 Ag 0.749 0.749 0.293
5 O 0.203 0.674 0.675
6 O 0.225 0.225 0.102
7 O 0.326 0.797 0.325
8 O 0.674 0.203 0.675
9 O 0.775 0.775 0.898
10 O 0.797 0.326 0.325